[1]
Hf2Zn2Se: relaxed, GGA-PBE.

Cell: 7.0258 7.0258 3.7868 Å, 90.00 90.00 90.00°
With the nearest neighbours (Å) after each atom.
Element x y z (fractional)
Hf (0.1723, 0.3277, 0.0000)  6 Zn 2.77-2.84
Hf (0.3277, 0.8277, 0.0000)  6 Zn 2.77-2.84
Hf (0.6723, 0.1723, 0.0000)  6 Zn 2.77-2.84
Hf (0.8277, 0.6723, 0.0000)  6 Zn 2.77-2.84
Zn (0.1244, 0.6244, 0.5000)  1 Zn 2.47
Zn (0.3756, 0.1244, 0.5000)  1 Zn 2.47
Zn (0.6244, 0.8756, 0.5000)  1 Zn 2.47
Zn (0.8756, 0.3756, 0.5000)  1 Zn 2.47
Se (0.0000, 0.0000, 0.5000)  4 Zn 2.78
Se (0.5000, 0.5000, 0.5000)  4 Zn 2.78

Computed properties:
Symmetry   P4/mbm, No. 127
Formation energy without anion corrections   -0.36 eV per formula unit
Density   10.07 g/cm3
Distance to the lowest polymorph of the same formula   317 meV per atom

***

[2]
Hf2ZnSe: relaxed, GGA-PBE.

Cell: 6.9100 6.9100 6.9100 Å, 31.28 31.28 31.28°
With the nearest neighbours (Å) after each atom.
Element x y z (fractional)
Hf (0.2468, 0.2468, 0.2468)  3 Zn 2.67, 3 Se 2.74
Hf (0.7532, 0.7532, 0.7532)  3 Zn 2.67, 3 Se 2.74
Zn (0.5000, 0.5000, 0.5000)  6 Hf 2.67
Se (0.0000, 0.0000, 0.0000)  6 Hf 2.74

Computed properties:
Symmetry   R-3m, No. 166
Formation energy without anion corrections   -1.84 eV per formula unit
Density   10.54 g/cm3
Distance to the lowest polymorph of the same formula   0 meV per atom